Record 1
Entry from OQMD: a relaxed structure of K2AgAsCl6 (PBE-GGA).

Calculated values
Its space group is No. 166. The raw total energy comes out at -32.1 eV per formula unit.

```
data_K2AgAsCl6
_cell_length_a 13.084
_cell_length_b 13.084
_cell_length_c 13.084
_cell_angle_alpha 31.78
_cell_angle_beta 31.78
_cell_angle_gamma 31.78
_space_group_name_H-M_alt 'P 1'
_space_group_IT_number 1
_space_group_name_Hall 'P 1'
loop_
_atom_site_label
_atom_site_type_symbol
_atom_site_fract_x
_atom_site_fract_y
_atom_site_fract_z
K1 K 0.290 0.290 0.290
K2 K 0.882 0.882 0.882
K3 K 0.118 0.118 0.118
K4 K 0.710 0.710 0.710
Cl1 Cl 0.787 0.787 0.300
Cl2 Cl 0.213 0.700 0.213
Cl3 Cl 0.700 0.213 0.213
Cl4 Cl 0.114 0.622 0.622
Cl5 Cl 0.300 0.787 0.787
Cl6 Cl 0.378 0.378 0.886
Cl7 Cl 0.886 0.378 0.378
Cl8 Cl 0.622 0.622 0.114
Cl9 Cl 0.787 0.300 0.787
Cl10 Cl 0.378 0.886 0.378
Cl11 Cl 0.213 0.213 0.700
Cl12 Cl 0.622 0.114 0.622
Ag1 Ag 0.000 0.000 0.000
Ag2 Ag 0.500 0.500 0.500
As1 As 0.415 0.415 0.415
As2 As 0.585 0.585 0.585
```

***

Record 2
Entry from OQMD: a relaxed structure of Cu8SiS6 (PBE-GGA).

Calculated values
Its space group is No. 31. The raw total energy comes out at -63.6 eV per formula unit.

```
data_Cu8SiS6
_cell_length_a 6.991
_cell_length_b 6.873
_cell_length_c 9.697
_cell_angle_alpha 90.00
_cell_angle_beta 90.00
_cell_angle_gamma 90.00
_space_group_name_H-M_alt 'P 1'
_space_group_IT_number 1
_space_group_name_Hall 'P 1'
loop_
_atom_site_label
_atom_site_type_symbol
_atom_site_fract_x
_atom_site_fract_y
_atom_site_fract_z
S1 S 0.255 0.246 0.391
S2 S 0.500 0.504 0.142
S3 S 0.755 0.754 0.891
S4 S 0.000 0.270 0.001
S5 S 0.245 0.754 0.891
S6 S 0.000 0.787 0.245
S7 S 0.500 0.996 0.144
S8 S 0.000 0.004 0.644
S9 S 0.745 0.246 0.391
S10 S 0.500 0.213 0.745
S11 S 0.000 0.496 0.642
S12 S 0.500 0.730 0.501
Cu1 Cu 0.000 0.604 0.033
Cu2 Cu 0.296 0.475 0.759
Cu3 Cu 0.204 0.525 0.259
Cu4 Cu 0.500 0.269 0.978
Cu5 Cu 0.793 0.113 0.854
Cu6 Cu 0.204 0.149 0.155
Cu7 Cu 0.704 0.851 0.655
Cu8 Cu 0.500 0.396 0.533
Cu9 Cu 0.796 0.149 0.155
Cu10 Cu 0.293 0.887 0.354
Cu11 Cu 0.796 0.525 0.259
Cu12 Cu 0.207 0.113 0.854
Cu13 Cu 0.707 0.887 0.354
Cu14 Cu 0.296 0.851 0.655
Cu15 Cu 0.704 0.475 0.759
Cu16 Cu 0.000 0.731 0.478
Si1 Si 0.000 0.251 0.510
Si2 Si 0.500 0.749 0.010
```

***

Record 3
Entry from OQMD: a relaxed structure of LiLuCd (PBE-GGA).

Calculated values
Its space group is No. 216. The magnetic moment is 0.02 μB/atom. The raw total energy comes out at -6.0 eV per formula unit.

```
data_LiLuCd
_cell_length_a 4.847
_cell_length_b 4.847
_cell_length_c 4.847
_cell_angle_alpha 60.00
_cell_angle_beta 60.00
_cell_angle_gamma 60.00
_space_group_name_H-M_alt 'P 1'
_space_group_IT_number 1
_space_group_name_Hall 'P 1'
loop_
_atom_site_label
_atom_site_type_symbol
_atom_site_fract_x
_atom_site_fract_y
_atom_site_fract_z
Li1 Li 0.750 0.750 0.750
Lu1 Lu 0.000 0.000 0.000
Cd1 Cd 0.250 0.250 0.250
```

***

Record 4
Entry from OQMD: a relaxed structure of CsSrPa (PBE-GGA).

Calculated values
The value obtained for the distance to the lowest polymorph of the same formula is 2.9 kJ per mole of atoms. Its space group is No. 216. The magnetic moment is 0.67 μB/atom.

```
data_CsSrPa
_cell_length_a 5.883
_cell_length_b 5.883
_cell_length_c 5.883
_cell_angle_alpha 60.00
_cell_angle_beta 60.00
_cell_angle_gamma 60.00
_space_group_name_H-M_alt 'P 1'
_space_group_IT_number 1
_space_group_name_Hall 'P 1'
loop_
_atom_site_label
_atom_site_type_symbol
_atom_site_fract_x
_atom_site_fract_y
_atom_site_fract_z
Sr1 Sr 0.750 0.750 0.750
Pa1 Pa 0.250 0.250 0.250
Cs1 Cs 0.000 0.000 0.000
```

***

Record 5
Entry from OQMD: a relaxed structure of Dy3Mg3TlZn2 (PBE-GGA).

Calculated values
Its space group is No. 189. The magnetic moment is 0.01 μB/atom. The raw total energy comes out at -25.7 eV per formula unit.

```
data_Dy3Mg3TlZn2
_cell_length_a 7.376
_cell_length_b 7.376
_cell_length_c 4.506
_cell_angle_alpha 90.00
_cell_angle_beta 90.00
_cell_angle_gamma 120.00
_space_group_name_H-M_alt 'P 1'
_space_group_IT_number 1
_space_group_name_Hall 'P 1'
loop_
_atom_site_label
_atom_site_type_symbol
_atom_site_fract_x
_atom_site_fract_y
_atom_site_fract_z
Mg1 Mg 0.000 0.748 0.500
Mg2 Mg 0.748 0.000 0.500
Mg3 Mg 0.252 0.252 0.500
Zn1 Zn 0.333 0.667 0.500
Zn2 Zn 0.667 0.333 0.500
Dy1 Dy 0.427 0.000 0.000
Dy2 Dy 0.000 0.427 0.000
Dy3 Dy 0.573 0.573 0.000
Tl1 Tl 0.000 0.000 0.000
```

***

Record 6
Entry from OQMD: a relaxed structure of Y2TlCu2 (PBE-GGA).

Calculated values
Its space group is No. 139. The magnetic moment is 0.00 μB/atom. The raw total energy comes out at -22.9 eV per formula unit.

```
data_Y2TlCu2
_cell_length_a 5.826
_cell_length_b 5.826
_cell_length_c 5.826
_cell_angle_alpha 128.99
_cell_angle_beta 128.99
_cell_angle_gamma 75.03
_space_group_name_H-M_alt 'P 1'
_space_group_IT_number 1
_space_group_name_Hall 'P 1'
loop_
_atom_site_label
_atom_site_type_symbol
_atom_site_fract_x
_atom_site_fract_y
_atom_site_fract_z
Cu1 Cu 0.379 0.379 0.000
Cu2 Cu 0.621 0.621 0.000
Y1 Y 0.250 0.750 0.500
Y2 Y 0.750 0.250 0.500
Tl1 Tl 0.000 0.000 0.000
```